A relaxed structure of Th6AlTe12, computed with PBE.

Computed properties:
DOS at the Fermi energy   0.382 states/eV per atom
Formation energy (no corrections)   -1.04 eV/atom
Crystal system   trigonal

Cell: 8.9625 8.9625 8.9625 Å, 100.46 100.46 100.46°
With the nearest neighbours (Å) after each atom.
Fractional positions:
Th  0.1304  0.2985  0.6361  7 Te 3.11-3.32
Th  0.2985  0.6361  0.1304  7 Te 3.11-3.32
Th  0.3639  0.8696  0.7015  7 Te 3.11-3.32
Th  0.6361  0.1304  0.2985  7 Te 3.11-3.32
Th  0.7015  0.3639  0.8696  7 Te 3.11-3.32
Th  0.8696  0.7015  0.3639  7 Te 3.11-3.32
Al  0.0000  0.0000  0.0000  6 Te 2.86
Te  0.0342  0.9398  0.6845  1 Al 2.86, 2 Th 3.11-3.18
Te  0.0602  0.3155  0.9658  1 Al 2.86, 2 Th 3.11-3.18
Te  0.1764  0.5674  0.4275  4 Th 3.17-3.32
Te  0.3155  0.9658  0.0602  1 Al 2.86, 2 Th 3.11-3.18
Te  0.4275  0.1764  0.5674  4 Th 3.17-3.32
Te  0.4326  0.5725  0.8236  4 Th 3.17-3.32
Te  0.5674  0.4275  0.1764  4 Th 3.17-3.32
Te  0.5725  0.8236  0.4326  4 Th 3.17-3.32
Te  0.6845  0.0342  0.9398  1 Al 2.86, 2 Th 3.11-3.18
Te  0.8236  0.4326  0.5725  4 Th 3.17-3.32
Te  0.9398  0.6845  0.0342  1 Al 2.86, 2 Th 3.11-3.18
Te  0.9658  0.0602  0.3155  1 Al 2.86, 2 Th 3.11-3.18

---

A relaxed structure of Th3Al5Te12, computed with PBE.

Computed properties:
DOS at the Fermi energy   0.341 states/eV per atom
Formation energy (no corrections)   -0.68 eV/atom
Crystal system   cubic

Cell: 14.9452 14.9452 14.9452 Å, 109.47 109.47 109.47°
With the nearest neighbours (Å) after each atom.
Fractional positions:
Th  0.1250  0.2500  0.3750  8 Te 3.29-3.30
Th  0.1250  0.3750  0.7500  8 Te 3.29-3.30
Th  0.2500  0.3750  0.1250  8 Te 3.29-3.30
Th  0.2500  0.8750  0.6250  8 Te 3.29-3.30
Th  0.3750  0.1250  0.2500  8 Te 3.29-3.30
Th  0.3750  0.7500  0.1250  8 Te 3.29-3.30
Th  0.6250  0.2500  0.8750  8 Te 3.29-3.30
Th  0.6250  0.8750  0.7500  8 Te 3.29-3.30
Th  0.7500  0.1250  0.3750  8 Te 3.29-3.30
Th  0.7500  0.6250  0.8750  8 Te 3.29-3.30
Th  0.8750  0.6250  0.2500  8 Te 3.29-3.30
Th  0.8750  0.7500  0.6250  8 Te 3.29-3.30
Al  0.0000  0.0000  0.0000  6 Te 2.85
Al  0.0000  0.0000  0.5000  6 Te 2.85
Al  0.0000  0.5000  0.0000  6 Te 2.85
Al  0.0000  0.5000  0.5000  6 Te 2.85
Al  0.1250  0.7500  0.8750  4 Te 2.65
Al  0.1250  0.8750  0.2500  4 Te 2.65
Al  0.2500  0.1250  0.8750  4 Te 2.65
Al  0.2500  0.6250  0.3750  4 Te 2.65
Al  0.3750  0.2500  0.6250  4 Te 2.65
Al  0.3750  0.6250  0.7500  4 Te 2.65
Al  0.5000  0.0000  0.0000  6 Te 2.85
Al  0.5000  0.0000  0.5000  6 Te 2.85
Al  0.5000  0.5000  0.0000  6 Te 2.85
Al  0.5000  0.5000  0.5000  6 Te 2.85
Al  0.6250  0.3750  0.2500  4 Te 2.65
Al  0.6250  0.7500  0.3750  4 Te 2.65
Al  0.7500  0.3750  0.6250  4 Te 2.65
Al  0.7500  0.8750  0.1250  4 Te 2.65
Al  0.8750  0.1250  0.7500  4 Te 2.65
Al  0.8750  0.2500  0.1250  4 Te 2.65
Te  0.0363  0.2130  0.1250  2 Al 2.65-2.85
Te  0.0363  0.3233  0.9112  2 Al 2.65-2.85
Te  0.0880  0.7130  0.6767  2 Al 2.65-2.85
Te  0.0880  0.8750  0.4112  2 Al 2.65-2.85
Te  0.0888  0.6250  0.4120  2 Al 2.65-2.85
Te  0.0888  0.9637  0.6767  2 Al 2.65-2.85
Te  0.1250  0.0363  0.2130  2 Al 2.65-2.85
Te  0.1250  0.5888  0.9120  2 Al 2.65-2.85
Te  0.1767  0.2130  0.5880  2 Al 2.65-2.85
Te  0.1767  0.4637  0.5888  2 Al 2.65-2.85
Te  0.2130  0.1250  0.0363  2 Al 2.65-2.85
Te  0.2130  0.5880  0.1767  2 Al 2.65-2.85
Te  0.2870  0.3233  0.9120  2 Al 2.65-2.85
Te  0.2870  0.4637  0.3750  2 Al 2.65-2.85
Te  0.3233  0.9112  0.0363  2 Al 2.65-2.85
Te  0.3233  0.9120  0.2870  2 Al 2.65-2.85
Te  0.3750  0.2870  0.4637  2 Al 2.65-2.85
Te  0.3750  0.5880  0.9112  2 Al 2.65-2.85
Te  0.4112  0.0880  0.8750  2 Al 2.65-2.85
Te  0.4112  0.8233  0.5363  2 Al 2.65-2.85
Te  0.4120  0.0888  0.6250  2 Al 2.65-2.85
Te  0.4120  0.8233  0.7870  2 Al 2.65-2.85
Te  0.4637  0.3750  0.2870  2 Al 2.65-2.85
Te  0.4637  0.5888  0.1767  2 Al 2.65-2.85
Te  0.5363  0.4112  0.8233  2 Al 2.65-2.85
Te  0.5363  0.6250  0.7130  2 Al 2.65-2.85
Te  0.5880  0.1767  0.2130  2 Al 2.65-2.85
Te  0.5880  0.9112  0.3750  2 Al 2.65-2.85
Te  0.5888  0.1767  0.4637  2 Al 2.65-2.85
Te  0.5888  0.9120  0.1250  2 Al 2.65-2.85
Te  0.6250  0.4120  0.0888  2 Al 2.65-2.85
Te  0.6250  0.7130  0.5363  2 Al 2.65-2.85
Te  0.6767  0.0880  0.7130  2 Al 2.65-2.85
Te  0.6767  0.0888  0.9637  2 Al 2.65-2.85
Te  0.7130  0.5363  0.6250  2 Al 2.65-2.85
Te  0.7130  0.6767  0.0880  2 Al 2.65-2.85
Te  0.7870  0.4120  0.8233  2 Al 2.65-2.85
Te  0.7870  0.8750  0.9637  2 Al 2.65-2.85
Te  0.8233  0.5363  0.4112  2 Al 2.65-2.85
Te  0.8233  0.7870  0.4120  2 Al 2.65-2.85
Te  0.8750  0.4112  0.0880  2 Al 2.65-2.85
Te  0.8750  0.9637  0.7870  2 Al 2.65-2.85
Te  0.9112  0.0363  0.3233  2 Al 2.65-2.85
Te  0.9112  0.3750  0.5880  2 Al 2.65-2.85
Te  0.9120  0.1250  0.5888  2 Al 2.65-2.85
Te  0.9120  0.2870  0.3233  2 Al 2.65-2.85
Te  0.9637  0.6767  0.0888  2 Al 2.65-2.85
Te  0.9637  0.7870  0.8750  2 Al 2.65-2.85

---

A relaxed structure of TiAlTe3, computed with PBE.

Computed properties:
Distance to the lowest polymorph of the same formula   0 meV per atom
DOS at the Fermi energy   0.660 states/eV per atom
Formation energy (no corrections)   -0.37 eV/atom
Crystal system   monoclinic

Cell: 6.7239 7.4608 13.2336 Å, 90.00 113.81 90.00°
With the nearest neighbours (Å) after each atom.
Fractional positions:
Ti  0.1848  0.1613  0.2506  6 Te 2.82-2.97
Ti  0.1848  0.3387  0.7506  6 Te 2.82-2.97
Ti  0.8152  0.6613  0.2494  6 Te 2.82-2.97
Ti  0.8152  0.8387  0.7494  6 Te 2.82-2.97
Al  0.1373  0.6062  0.1025  4 Te 2.58-2.74
Al  0.1373  0.8938  0.6025  4 Te 2.58-2.74
Al  0.8627  0.1062  0.3975  4 Te 2.58-2.74
Al  0.8627  0.3938  0.8975  4 Te 2.58-2.74
Te  0.0841  0.1102  0.8952  1 Al 2.59, 2 Ti 2.84-2.88
Te  0.0841  0.3898  0.3952  1 Al 2.59, 2 Ti 2.84-2.88
Te  0.1789  0.6265  0.9050  2 Al 2.72-2.74, 2 Ti 2.94-2.97
Te  0.1789  0.8735  0.4050  2 Al 2.72-2.74, 2 Ti 2.94-2.97
Te  0.4642  0.0246  0.7666  1 Al 2.58, 1 Ti 2.82
Te  0.4642  0.4754  0.2666  1 Al 2.58, 1 Ti 2.82
Te  0.5358  0.5246  0.7334  1 Al 2.58, 1 Ti 2.82
Te  0.5358  0.9754  0.2334  1 Al 2.58, 1 Ti 2.82
Te  0.8211  0.1265  0.5950  2 Al 2.72-2.74, 2 Ti 2.94-2.97
Te  0.8211  0.3735  0.0950  2 Al 2.72-2.74, 2 Ti 2.94-2.97
Te  0.9159  0.6102  0.6048  1 Al 2.59, 2 Ti 2.84-2.88
Te  0.9159  0.8898  0.1048  1 Al 2.59, 2 Ti 2.84-2.88

---

A relaxed structure of Ti2Al2Te7, computed with PBE.

Computed properties:
DOS at the Fermi energy   0.345 states/eV per atom
Formation energy (no corrections)   -0.34 eV/atom
Crystal system   monoclinic

Cell: 7.1556 7.1556 7.5774 Å, 99.26 99.26 113.78°
With the nearest neighbours (Å) after each atom.
Fractional positions:
Ti  0.1942  0.8058  0.0000  6 Te 2.78-2.81
Ti  0.8058  0.1942  0.0000  6 Te 2.78-2.81
Al  0.1806  0.1806  0.5816  4 Te 2.70-2.96, 1 Al 2.73
Al  0.8194  0.8194  0.4184  4 Te 2.70-2.96, 1 Al 2.73
Te  0.0120  0.4075  0.7585  1 Al 2.70, 2 Ti 2.78-2.79
Te  0.1575  0.1575  0.1850  2 Ti 2.81, 1 Al 2.96, 2 Te 3.02-3.14
Te  0.4075  0.0120  0.7585  1 Al 2.70, 2 Ti 2.78-2.79
Te  0.5000  0.5000  0.5000  2 Al 2.74, 2 Te 3.02
Te  0.5925  0.9880  0.2415  1 Al 2.70, 2 Ti 2.78-2.79
Te  0.8425  0.8425  0.8150  2 Ti 2.81, 1 Al 2.96, 2 Te 3.02-3.14
Te  0.9880  0.5925  0.2415  1 Al 2.70, 2 Ti 2.78-2.79

---

A relaxed structure of TiAl2Te, computed with PBE.

Computed properties:
Distance to the lowest polymorph of the same formula   178 meV per atom
DOS at the Fermi energy   0.914 states/eV per atom
Formation energy (no corrections)   0.37 eV/atom
Crystal system   cubic

Cell: 4.8615 4.8615 4.8615 Å, 60.00 60.00 60.00°
With the nearest neighbours (Å) after each atom.
Fractional positions:
Ti  0.0000  0.0000  0.0000  8 Al 2.98
Al  0.2500  0.2500  0.2500  4 Te 2.98, 4 Ti 2.98
Al  0.7500  0.7500  0.7500  4 Te 2.98, 4 Ti 2.98
Te  0.5000  0.5000  0.5000  8 Al 2.98

---

A relaxed structure of Ti3AlTe, computed with PBE.

Computed properties:
Distance to the lowest polymorph of the same formula   0 meV per atom
DOS at the Fermi energy   1.156 states/eV per atom
Formation energy (no corrections)   0.53 eV/atom
Crystal system   cubic

Cell: 4.7430 4.7430 4.7430 Å, 90.00 90.00 90.00°
With the nearest neighbours (Å) after each atom.
Fractional positions:
Ti  0.0000  0.0000  0.5000  2 Al 2.37
Ti  0.0000  0.5000  0.0000  2 Al 2.37
Ti  0.5000  0.0000  0.0000  2 Al 2.37
Al  0.0000  0.0000  0.0000  6 Ti 2.37
Te  0.5000  0.5000  0.5000  12 Ti 3.35

---

A relaxed structure of TiAlTe3, computed with PBE.

Computed properties:
Distance to the lowest polymorph of the same formula   362 meV per atom
DOS at the Fermi energy   0.391 states/eV per atom
Formation energy (no corrections)   -0.01 eV/atom
Crystal system   cubic

Cell: 5.3777 5.3777 5.3777 Å, 90.00 90.00 90.00°
With the nearest neighbours (Å) after each atom.
Fractional positions:
Ti  0.0000  0.0000  0.0000  6 Te 2.69
Al  0.5000  0.5000  0.5000  12 Te 3.80
Te  0.0000  0.0000  0.5000  2 Ti 2.69
Te  0.0000  0.5000  0.0000  2 Ti 2.69
Te  0.5000  0.0000  0.0000  2 Ti 2.69

---

A relaxed structure of TiAl2Te2, computed with PBE.

Computed properties:
Distance to the lowest polymorph of the same formula   128 meV per atom
DOS at the Fermi energy   0.978 states/eV per atom
Formation energy (no corrections)   0.09 eV/atom
Crystal system   tetragonal

Cell: 7.5190 7.5190 4.2053 Å, 90.00 90.00 90.00°
With the nearest neighbours (Å) after each atom.
Fractional positions:
Ti  0.0000  0.0000  0.0000  4 Te 2.75
Ti  0.5000  0.5000  0.0000  4 Te 2.75
Al  0.1301  0.3699  0.5000  1 Al 2.77, 2 Te 2.89
Al  0.3699  0.8699  0.5000  1 Al 2.77, 2 Te 2.89
Al  0.6301  0.1301  0.5000  1 Al 2.77, 2 Te 2.89
Al  0.8699  0.6301  0.5000  1 Al 2.77, 2 Te 2.89
Te  0.1840  0.6840  0.0000  2 Ti 2.75, 2 Al 2.89
Te  0.3160  0.1840  0.0000  2 Ti 2.75, 2 Al 2.89
Te  0.6840  0.8160  0.0000  2 Ti 2.75, 2 Al 2.89
Te  0.8160  0.3160  0.0000  2 Ti 2.75, 2 Al 2.89

---

A relaxed structure of Ti3AlTe4, computed with PBE.

Computed properties:
DOS at the Fermi energy   0.915 states/eV per atom
Formation energy (no corrections)   -0.32 eV/atom
Crystal system   orthorhombic

Cell: 7.7471 8.2305 7.0499 Å, 90.00 90.00 90.00°
With the nearest neighbours (Å) after each atom.
Fractional positions:
Ti  0.0000  0.0395  0.0000  2 Ti 2.68, 5 Te 2.82-2.94
Ti  0.2093  0.8284  0.8240  1 Ti 2.68, 4 Te 2.71-2.76
Ti  0.2907  0.1716  0.3240  1 Ti 2.68, 4 Te 2.71-2.76
Ti  0.5000  0.9605  0.5000  2 Ti 2.68, 5 Te 2.82-2.94
Ti  0.7093  0.1716  0.3240  1 Ti 2.68, 4 Te 2.71-2.76
Ti  0.7907  0.8284  0.8240  1 Ti 2.68, 4 Te 2.71-2.76
Al  0.0000  0.6513  0.3330  4 Te 2.67-2.76
Al  0.5000  0.3487  0.8330  4 Te 2.67-2.76
Te  0.0000  0.3347  0.2023  3 Ti 2.76-2.82, 1 Al 2.76
Te  0.0000  0.5856  0.7044  1 Al 2.67, 2 Ti 2.71
Te  0.2452  0.1471  0.7072  1 Al 2.73, 4 Ti 2.73-2.94
Te  0.2548  0.8529  0.2072  1 Al 2.73, 4 Ti 2.73-2.94
Te  0.5000  0.4144  0.2044  1 Al 2.67, 2 Ti 2.71
Te  0.5000  0.6653  0.7023  3 Ti 2.76-2.82, 1 Al 2.76
Te  0.7452  0.8529  0.2072  1 Al 2.73, 4 Ti 2.73-2.94
Te  0.7548  0.1471  0.7072  1 Al 2.73, 4 Ti 2.73-2.94

---

A relaxed structure of TiAl2Te4, computed with PBE.

Computed properties:
DOS at the Fermi energy   0.369 states/eV per atom
Formation energy (no corrections)   -0.29 eV/atom
Crystal system   tetragonal

Cell: 6.7125 6.7125 6.7125 Å, 105.56 105.56 117.61°
With the nearest neighbours (Å) after each atom.
Fractional positions:
Ti  0.0000  0.0000  0.0000  4 Te 2.88
Al  0.2500  0.7500  0.5000  4 Te 2.67
Al  0.7500  0.2500  0.5000  4 Te 2.67
Te  0.1663  0.3134  0.4797  2 Al 2.67, 1 Ti 2.88
Te  0.3134  0.8337  0.1472  2 Al 2.67, 1 Ti 2.88
Te  0.6866  0.1663  0.8528  2 Al 2.67, 1 Ti 2.88
Te  0.8337  0.6866  0.5203  2 Al 2.67, 1 Ti 2.88

---

| no. | total magnetic moment (μB per atom) | uncorrected energy (eV/cell) |
| --- | --- | --- |
| 1 | 0.000 | -105.661 |
| 2 | 0.000 | -369.432 |
| 3 | 0.200 | -91.631 |
| 4 | 0.000 | -48.982 |
| 5 | 0.470 | -17.029 |
| 6 | 0.000 | -27.925 |
| 7 | 0.000 | -21.100 |
| 8 | 0.189 | -42.390 |
| 9 | 0.116 | -85.032 |
| 10 | 0.286 | -29.989 |